Ca2CoP: relaxed, PBE.

Values from the calculation:
- Space group: No. 38
- E_form: -553.8 meV/atom
- Fermi-level density of states: 2.51 states/eV/f.u.
- Uncorrected energy: -0.344 Ry per atom
- M_tot: 0.2 Bohr magnetons per cell

abc: 4.0931 5.3366 5.3366
angles: 48.77 90.00 90.00
With the nearest neighbours (Å) after each atom.
Fractional positions:
Ca  0.0000  0.0000  0.0000  3 Co 2.83-3.08, 4 P 3.17
Ca  0.5000  0.2923  0.2923  3 P 2.87-3.02, 4 Co 3.19
Co  0.0000  0.6832  0.6832  2 P 2.19
P  0.5000  0.6035  0.6035  2 Co 2.19